Entry 1:
Pr4MgSe7 | GGA-PBE | relaxed

Computed properties:
Formation energy from raw total energies: -20.997 eV per formula unit
Final energy: -5.51 eV/atom

Lattice parameters (Å, degrees): 7.112 7.112 12.426 105.03 105.03 33.86
Fractional positions:
Pr 0.000 0.000 0.000
Pr 0.186 0.186 0.760
Pr 0.570 0.570 0.348
Pr 0.877 0.877 0.556
Mg 0.769 0.769 0.140
Se 0.160 0.160 0.212
Se 0.214 0.214 0.510
Se 0.389 0.389 0.085
Se 0.540 0.540 0.614
Se 0.633 0.633 0.927
Se 0.845 0.845 0.780
Se 0.913 0.913 0.336



Entry 2:
Tb3Pr3MgSe8 | GGA-PBE | relaxed

Computed properties:
Formation energy from raw total energies: -26.689 eV per formula unit
Final energy: -5.63 eV/atom

Lattice parameters (Å, degrees): 8.370 8.370 8.370 59.14 59.14 59.14
Fractional positions:
Tb 0.000 0.500 0.500
Tb 0.500 0.000 0.500
Tb 0.500 0.500 0.000
Pr 0.000 0.000 0.500
Pr 0.000 0.500 0.000
Pr 0.500 0.000 0.000
Mg 0.000 0.000 0.000
Se 0.240 0.240 0.751
Se 0.240 0.751 0.240
Se 0.249 0.760 0.760
Se 0.255 0.255 0.255
Se 0.745 0.745 0.745
Se 0.751 0.240 0.240
Se 0.760 0.249 0.760
Se 0.760 0.760 0.249



Entry 3:
Pr3Y3MgSe8 | GGA-PBE | relaxed

Computed properties:
Formation energy from raw total energies: -26.696 eV per formula unit
Final energy: -5.99 eV/atom

Lattice parameters (Å, degrees): 8.361 8.361 8.361 59.10 59.10 59.10
Fractional positions:
Pr 0.000 0.500 0.500
Pr 0.500 0.000 0.500
Pr 0.500 0.500 0.000
Y 0.000 0.000 0.500
Y 0.000 0.500 0.000
Y 0.500 0.000 0.000
Mg 0.500 0.500 0.500
Se 0.245 0.245 0.245
Se 0.250 0.740 0.740
Se 0.260 0.260 0.750
Se 0.260 0.750 0.260
Se 0.740 0.250 0.740
Se 0.740 0.740 0.250
Se 0.750 0.260 0.260
Se 0.755 0.755 0.755



Entry 4:
Pr2MgZnSe5 | GGA-PBE | relaxed

Computed properties:
Formation energy from raw total energies: -13.205 eV per formula unit
Final energy: -4.78 eV/atom

Lattice parameters (Å, degrees): 9.052 9.052 12.107 90.00 90.00 153.88
Fractional positions:
Pr 0.114 0.886 0.500
Pr 0.131 0.869 0.116
Pr 0.869 0.131 0.616
Pr 0.886 0.114 0.000
Mg 0.204 0.796 0.825
Mg 0.796 0.204 0.325
Zn 0.441 0.559 0.270
Zn 0.559 0.441 0.770
Se 0.048 0.952 0.878
Se 0.287 0.713 0.477
Se 0.311 0.689 0.167
Se 0.355 0.645 0.812
Se 0.498 0.502 0.591
Se 0.502 0.498 0.091
Se 0.645 0.355 0.312
Se 0.689 0.311 0.667
Se 0.713 0.287 0.977
Se 0.952 0.048 0.378



Look up the final energy of the second one.
-5.63 eV/atom



Look up the formation energy from raw total energies of the fourth one.
-13.205 eV per formula unit



Which formula does entry 3 have?
Pr3Y3MgSe8



Which of these has the highest final energy?
Pr2MgZnSe5